# BiSbTe2Mo, relaxed, DFT PBE-GGA
# - DOS(E_F) (states/eV/cell) = 5.8
# - size of the total moment (μB/f.u.) = 0.00
# - E_form (uncorrected) (eV per atom) = 0.4720
data_BiSbTe2Mo
_chemical_formula_sum 'Bi1 Sb1 Te2 Mo1'
_symmetry_space_group_name_H-M 'P 1'
_symmetry_Int_Tables_number 1
_cell_length_a 5.2658
_cell_length_b 5.2658
_cell_length_c 5.3518
_cell_angle_alpha 90.00
_cell_angle_beta 90.00
_cell_angle_gamma 90.00
loop_
_symmetry_equiv_pos_as_xyz
'x,y,z'
loop_
_atom_site_label
_atom_site_type_symbol
_atom_site_fract_x
_atom_site_fract_y
_atom_site_fract_z
_atom_site_occupancy
Bi1 Bi 0.5000 0.5000 0.5000 1
Mo1 Mo 0.0000 0.0000 0.0000 1
Te1 Te 0.0000 0.5000 0.0000 1
Te2 Te 0.5000 0.0000 0.0000 1
Sb1 Sb 0.0000 0.0000 0.5000 1

# TiBi2SbMo, relaxed, DFT PBE-GGA
# - DOS(E_F) (states/eV/cell) = 13.6
# - size of the total moment (μB/f.u.) = 0.29
# - E_form (uncorrected) (eV per atom) = 1.0006
data_TiBi2SbMo
_chemical_formula_sum 'Ti1 Bi2 Sb1 Mo1'
_symmetry_space_group_name_H-M 'P 1'
_symmetry_Int_Tables_number 1
_cell_length_a 5.4147
_cell_length_b 5.1529
_cell_length_c 5.4147
_cell_angle_alpha 90.00
_cell_angle_beta 90.00
_cell_angle_gamma 90.00
loop_
_symmetry_equiv_pos_as_xyz
'x,y,z'
loop_
_atom_site_label
_atom_site_type_symbol
_atom_site_fract_x
_atom_site_fract_y
_atom_site_fract_z
_atom_site_occupancy
Sb1 Sb 0.0000 0.5000 0.0000 1
Bi1 Bi 0.0000 0.0000 0.5000 1
Bi2 Bi 0.5000 0.0000 0.0000 1
Ti1 Ti 0.5000 0.5000 0.5000 1
Mo1 Mo 0.0000 0.0000 0.0000 1